MnNbFeRe: optimized geometry, GGA-PBE.

Cell lengths 4.3083, 4.3083, 4.3083 Å; angles 60.00, 60.00, 60.00 degrees
Fractional positions:
Mn1 0.0000 0.0000 0.0000
Nb1 0.5000 0.5000 0.5000
Fe1 0.7500 0.7500 0.7500
Re1 0.2500 0.2500 0.2500

**Calculated total energy**: -9.9852 eV/atom
**Fermi-level density of states**: 5.32 states/eV/f.u.
**Formation energy**: 0.05 eV per atom
**Magnetization**: 3.3 μB/f.u.



Ru3Se: optimized geometry, GGA-PBE.

Cell lengths 8.3385, 8.3385, 8.3385 Å; angles 153.29, 153.29, 38.13 degrees
Fractional positions:
Ru1 0.0000 0.5000 0.5000
Ru2 0.1324 0.1324 0.0000
Ru3 0.2500 0.7500 0.5000
Ru4 0.5000 0.0000 0.5000
Ru5 0.7500 0.2500 0.5000
Ru6 0.8676 0.8676 0.0000
Se1 0.3883 0.3883 0.0000
Se2 0.6117 0.6117 0.0000

**Calculated total energy**: -7.3844 eV/atom
**Fermi-level density of states**: 3.47 states/eV/f.u.
**E_form (uncorrected)**: 0.4436 eV/atom
**Magnetization**: 0.0 μB/f.u.



Cs2BeI6F: optimized geometry, GGA-PBE.

Cell lengths 8.3002, 8.3002, 8.3002 Å; angles 118.39, 118.39, 92.81 degrees
Fractional positions:
Cs1 0.2500 0.7500 0.5000
Cs2 0.7500 0.2500 0.5000
Be1 0.0000 0.0000 0.0000
I1 0.2097 0.2097 0.4194
I2 0.2097 0.7903 0.0000
I3 0.2982 0.2982 0.0000
I4 0.7018 0.7018 0.0000
I5 0.7903 0.2097 0.0000
I6 0.7903 0.7903 0.5806
F1 0.5000 0.5000 0.0000

**Calculated total energy**: -2.3858 eV/atom
**Fermi-level density of states**: 7.81 states/eV/f.u.
**E_form (uncorrected)**: -0.7253 eV/atom
**Magnetization**: 0.0 μB/f.u.